A plane-wave DFT calculation with GGA-PBE was carried out for a geometry-optimized SrDyB12 structure.

Cell: 4.1415 4.1415 8.2875 Å, 90.00 90.00 90.00°
Space group P4/mmm (No. 123)
Asymmetric unit:
Sr: 0.0000 0.0000 0.0000 x1
Dy: 0.0000 0.0000 0.5000 x1
B: 0.2006 0.5000 0.2536 x8
B: 0.5000 0.5000 0.1022 x2
B: 0.5000 0.5000 0.4016 x2

Summary:
- formation energy from the elements (eV/atom) = -0.435
- magnetization (μB/atom) = 0.00
- volume (Å³ per cell) = 142.14

=====

A plane-wave DFT calculation with GGA-PBE was carried out for a geometry-optimized LiZn2Tc structure.

Cell: 9.9062 2.5960 4.7735 Å, 90.00 112.64 90.00°
Space group Cm (No. 8)
Asymmetric unit:
Li: 0.0000 0.0000 0.0000 x2
Zn: 0.0095 0.5000 0.4937 x2
Zn: 0.2498 0.0000 0.9162 x2
Tc: 0.2629 0.5000 0.4233 x2

Summary:
- offset from the most stable computed form (meV/atom) = 57
- formation energy from the elements (eV/atom) = -0.030
- magnetization (μB/atom) = 0.00
- volume (Å³ per cell) = 113.30

=====

A plane-wave DFT calculation with GGA-PBE was carried out for a geometry-optimized Pr3Ga4Pd structure.

Cell: 4.7364 6.7103 13.0109 Å, 90.00 90.00 90.00°
Space group Immm (No. 71)
Asymmetric unit:
Pr: 0.0000 0.0000 0.0000 x2
Pr: 0.0000 0.5000 0.1773 x4
Ga: 0.0000 0.2979 0.3836 x8
Pd: 0.0000 0.0000 0.5000 x2

Summary:
- formation energy from the elements (eV/atom) = -0.509
- magnetization (μB/atom) = 0.00
- volume (Å³ per cell) = 413.52